Here is an optimized crystal structure of Cr2CdSnF from Alexandria via LeMat-Bulk. Energies are from GGA+U.

a b c (Å): 5.4975 5.4975 4.2216
angles (deg): 90.00 90.00 90.00
Sites, in units of the cell vectors:
1 Cr 0.0000 0.5000 0.0000
2 Cr 0.5000 0.0000 0.0000
3 Cd 0.0000 0.0000 0.0000
4 Sn 0.5000 0.5000 0.5000
5 F 0.0000 0.0000 0.5000

Computed properties:
DOS at the Fermi energy: 0.61 states/eV/atom
space-group type: No. 123
uncorrected energy: -4.11 eV/atom